1.
## LiZnGa4 (PBE)

Data for a relaxed structure of LiZnGa4.

D(E_F)   0.2865 states/eV per atom

abc: 3.217 4.587 7.216
angles: 89.99 90.00 90.05
Fractional coordinates of all 6 atoms:
Zn 0.001 0.997 0.498
Li 0.502 0.498 0.998
Ga 0.501 0.997 0.806
Ga 0.002 0.497 0.691
Ga 0.501 0.997 0.190
Ga 0.002 0.497 0.306

***

2.
## Li3Zn2Ga5 (PBE)

Data for a relaxed structure of Li3Zn2Ga5.

D(E_F)   0.3554 states/eV per atom
Polymorph energy (0 for the lowest one)   9 meV per atom

abc: 8.809 8.089 7.903
angles: 120.78 123.87 90.00
Fractional coordinates of all 20 atoms:
Ga 0.750 0.500 0.000
Ga 0.127 0.492 0.253
Ga 0.373 0.239 0.747
Ga 0.873 0.508 0.747
Ga 0.001 0.751 0.501
Ga 0.499 0.249 0.499
Ga 0.627 0.761 0.253
Ga 0.501 0.751 0.501
Ga 0.250 0.500 0.000
Ga 0.999 0.249 0.499
Zn 0.125 0.178 0.249
Zn 0.625 0.071 0.249
Zn 0.375 0.929 0.751
Zn 0.875 0.822 0.751
Li 0.129 0.847 0.258
Li 0.250 0.000 0.000
Li 0.750 0.000 0.000
Li 0.871 0.153 0.742
Li 0.629 0.410 0.258
Li 0.371 0.590 0.742

***

3.
## Li12ZnGa2 (PBE)

Data for a relaxed structure of Li12ZnGa2.

D(E_F)   0.3255 states/eV per atom

abc: 5.601 5.601 18.955
angles: 90.00 90.00 119.96
Fractional coordinates of all 30 atoms:
Li 0.250 0.750 0.132
Li 0.750 0.750 0.070
Li 0.000 0.000 0.652
Li 0.750 0.250 0.617
Li 0.870 0.630 0.500
Li 0.000 0.000 0.213
Li 0.250 0.250 0.070
Li 0.250 0.750 0.617
Li 0.500 0.500 0.652
Li 0.500 0.500 0.213
Li 0.130 0.370 0.500
Li 0.750 0.250 0.383
Li 0.750 0.250 0.132
Li 0.500 0.500 0.787
Li 0.000 0.000 0.348
Li 0.630 0.870 0.500
Li 0.250 0.750 0.383
Li 0.250 0.750 0.868
Li 0.750 0.750 0.930
Li 0.500 0.500 0.348
Li 0.000 0.000 0.787
Li 0.750 0.250 0.868
Li 0.250 0.250 0.930
Li 0.370 0.130 0.500
Zn 0.500 0.000 0.000
Zn 0.000 0.500 0.000
Ga 0.500 0.000 0.739
Ga 0.000 0.500 0.261
Ga 0.500 0.000 0.261
Ga 0.000 0.500 0.739

***

4.
## Li2Zn8Ga (PBE)

Data for a relaxed structure of Li2Zn8Ga.

D(E_F)   0.2087 states/eV per atom
Polymorph energy (0 for the lowest one)   32 meV per atom

abc: 4.277 6.098 7.475
angles: 114.01 106.87 90.00
Fractional coordinates of all 11 atoms:
Li 0.191 0.691 0.382
Li 0.809 0.309 0.618
Zn 0.353 0.137 0.706
Zn 0.000 0.293 0.000
Zn 0.647 0.863 0.294
Zn 0.831 0.831 0.663
Zn 0.647 0.431 0.294
Zn 0.000 0.707 0.000
Zn 0.353 0.569 0.706
Zn 0.169 0.169 0.337
Ga 0.500 0.000 0.000

***

Number 1: ΔH_f (0 K) -43 meV/atom. Number 2: ΔH_f (0 K) -84 meV/atom. Number 3: ΔH_f (0 K) -71 meV/atom. Number 4: ΔH_f (0 K) -49 meV/atom.